1.
# TbHo2Sn4Pd4, relaxed, DFT GGA-PBE
# mass density: 9.680 g/cm3
# total energy: -5.410 eV per atom
# total magnetization: 0.0 μB/f.u.
data_TbHo2Sn4Pd4
_cell_length_a 8.5065
_cell_length_b 8.5065
_cell_length_c 8.5065
_cell_angle_alpha 150.11
_cell_angle_beta 128.41
_cell_angle_gamma 60.77
_symmetry_space_group_name_H-M 'P 1'
_symmetry_Int_Tables_number 1
_symmetry_space_group_name_Hall 'P 1'
loop_
_atom_site_label
_atom_site_type_symbol
_atom_site_fract_x
_atom_site_fract_y
_atom_site_fract_z
_atom_site_occupancy
Tb1 Tb 0.0000 0.0000 0.0000 1
Ho1 Ho 0.3710 0.8710 0.5000 1
Ho2 Ho 0.6290 0.1290 0.5000 1
Sn1 Sn 0.2142 0.2142 0.0000 1
Sn2 Sn 0.3029 0.5000 0.8029 1
Sn3 Sn 0.6971 0.5000 0.1971 1
Sn4 Sn 0.7858 0.7858 0.0000 1
Pd1 Pd 0.0250 0.3225 0.7025 1
Pd2 Pd 0.3799 0.6775 0.7025 1
Pd3 Pd 0.6201 0.3225 0.2975 1
Pd4 Pd 0.9750 0.6775 0.2975 1

---

2.
# TbHoSn2Pd4, relaxed, DFT GGA-PBE
# mass density: 10.075 g/cm3
# total energy: -5.627 eV per atom
# total magnetization: 0.0 μB/f.u.
data_TbHoSn2Pd4
_cell_length_a 4.5830
_cell_length_b 4.5830
_cell_length_c 8.9426
_cell_angle_alpha 90.00
_cell_angle_beta 90.00
_cell_angle_gamma 120.00
_symmetry_space_group_name_H-M 'P 1'
_symmetry_Int_Tables_number 1
_symmetry_space_group_name_Hall 'P 1'
loop_
_atom_site_label
_atom_site_type_symbol
_atom_site_fract_x
_atom_site_fract_y
_atom_site_fract_z
_atom_site_occupancy
Tb1 Tb 0.0000 0.0000 0.0000 1
Ho1 Ho 0.3333 0.6667 0.5000 1
Sn1 Sn 0.6667 0.3333 0.2507 1
Sn2 Sn 0.6667 0.3333 0.7493 1
Pd1 Pd 0.0000 0.0000 0.3362 1
Pd2 Pd 0.0000 0.0000 0.6638 1
Pd3 Pd 0.3333 0.6667 0.1653 1
Pd4 Pd 0.3333 0.6667 0.8347 1

---

3.
# TbHo2Sn3Pd3, relaxed, DFT GGA-PBE
# mass density: 9.849 g/cm3
# total energy: -5.530 eV per atom
# total magnetization: 0.0 μB/f.u.
data_TbHo2Sn3Pd3
_cell_length_a 4.0060
_cell_length_b 7.5267
_cell_length_c 7.5267
_cell_angle_alpha 120.14
_cell_angle_beta 90.00
_cell_angle_gamma 90.00
_symmetry_space_group_name_H-M 'P 1'
_symmetry_Int_Tables_number 1
_symmetry_space_group_name_Hall 'P 1'
loop_
_atom_site_label
_atom_site_type_symbol
_atom_site_fract_x
_atom_site_fract_y
_atom_site_fract_z
_atom_site_occupancy
Tb1 Tb 0.0000 0.0000 0.0000 1
Ho1 Ho 0.0000 0.1834 0.5915 1
Ho2 Ho 0.0000 0.5915 0.1834 1
Sn1 Sn 0.5000 0.3339 0.3339 1
Sn2 Sn 0.5000 0.5908 0.8490 1
Sn3 Sn 0.5000 0.8490 0.5908 1
Pd1 Pd 0.0000 0.5901 0.5901 1
Pd2 Pd 0.5000 0.2597 0.9242 1
Pd3 Pd 0.5000 0.9242 0.2597 1

---

4.
# HoTmSn2Pd4, relaxed, DFT GGA-PBE
# mass density: 10.288 g/cm3
# total energy: -5.612 eV per atom
# total magnetization: 0.0 μB/f.u.
data_HoTmSn2Pd4
_cell_length_a 4.5681
_cell_length_b 4.5681
_cell_length_c 8.9044
_cell_angle_alpha 90.00
_cell_angle_beta 90.00
_cell_angle_gamma 120.00
_symmetry_space_group_name_H-M 'P 1'
_symmetry_Int_Tables_number 1
_symmetry_space_group_name_Hall 'P 1'
loop_
_atom_site_label
_atom_site_type_symbol
_atom_site_fract_x
_atom_site_fract_y
_atom_site_fract_z
_atom_site_occupancy
Ho1 Ho 0.0000 0.0000 0.0000 1
Tm1 Tm 0.6667 0.3333 0.5000 1
Sn1 Sn 0.3333 0.6667 0.2513 1
Sn2 Sn 0.3333 0.6667 0.7487 1
Pd1 Pd 0.0000 0.0000 0.3374 1
Pd2 Pd 0.0000 0.0000 0.6626 1
Pd3 Pd 0.6667 0.3333 0.1647 1
Pd4 Pd 0.6667 0.3333 0.8353 1

---

5.
# YHo2Sn3Pd3, relaxed, DFT GGA-PBE
# mass density: 9.275 g/cm3
# total energy: -5.733 eV per atom
# total magnetization: 0.0 μB/f.u.
data_YHo2Sn3Pd3
_cell_length_a 3.8905
_cell_length_b 7.6302
_cell_length_c 7.6302
_cell_angle_alpha 120.14
_cell_angle_beta 90.00
_cell_angle_gamma 90.00
_symmetry_space_group_name_H-M 'P 1'
_symmetry_Int_Tables_number 1
_symmetry_space_group_name_Hall 'P 1'
loop_
_atom_site_label
_atom_site_type_symbol
_atom_site_fract_x
_atom_site_fract_y
_atom_site_fract_z
_atom_site_occupancy
Y1 Y 0.0000 0.0000 0.0000 1
Ho1 Ho 0.0000 0.1949 0.5975 1
Ho2 Ho 0.0000 0.5975 0.1949 1
Sn1 Sn 0.5000 0.3349 0.3349 1
Sn2 Sn 0.5000 0.5978 0.8595 1
Sn3 Sn 0.5000 0.8595 0.5978 1
Pd1 Pd 0.0000 0.5959 0.5959 1
Pd2 Pd 0.5000 0.2666 0.9303 1
Pd3 Pd 0.5000 0.9303 0.2666 1

---

6.
# YHoSnPd2, relaxed, DFT GGA-PBE
# mass density: 8.750 g/cm3
# total energy: -5.989 eV per atom
# total magnetization: 0.0 μB/f.u.
data_YHoSnPd2
_cell_length_a 3.5763
_cell_length_b 7.5958
_cell_length_c 7.5958
_cell_angle_alpha 32.57
_cell_angle_beta 90.00
_cell_angle_gamma 90.00
_symmetry_space_group_name_H-M 'P 1'
_symmetry_Int_Tables_number 1
_symmetry_space_group_name_Hall 'P 1'
loop_
_atom_site_label
_atom_site_type_symbol
_atom_site_fract_x
_atom_site_fract_y
_atom_site_fract_z
_atom_site_occupancy
Y1 Y 0.0000 0.0000 0.0000 1
Ho1 Ho 0.0000 0.7378 0.7378 1
Sn1 Sn 0.5000 0.3700 0.3700 1
Pd1 Pd 0.5000 0.1809 0.1809 1
Pd2 Pd 0.5000 0.5614 0.5614 1